! NdCr4Co3O12, optimized geometry, DFT PBE+U; values from VASP
&SYSTEM
  ibrav = 0, nat = 20, ntyp = 4
/
ATOMIC_SPECIES
Co 58.93 Co.upf
O 16.00 O.upf
Cr 52.00 Cr.upf
Nd 144.24 Nd.upf
ATOMIC_POSITIONS crystal
Co 0.0000 0.5000 0.5000
O 0.1706 0.8587 0.6881
Cr 0.5000 0.0000 0.0000
O 0.3119 0.8294 0.1413
O 0.5175 0.6881 0.8294
Cr 0.5000 0.5000 0.5000
Co 0.5000 0.5000 0.0000
O 0.6881 0.1706 0.8587
O 0.8294 0.1413 0.3119
Cr 0.0000 0.5000 0.0000
O 0.1413 0.3119 0.8294
O 0.6881 0.8294 0.5175
O 0.1706 0.4825 0.3119
O 0.4825 0.3119 0.1706
Co 0.5000 0.0000 0.5000
O 0.8294 0.5175 0.6881
Cr 0.0000 0.0000 0.5000
Nd 0.0000 0.0000 0.0000
O 0.3119 0.1706 0.4825
O 0.8587 0.6881 0.1706
CELL_PARAMETERS angstrom
6.4258 0.0000 0.0000
-2.1419 6.0583 0.0000
-2.1419 -3.0292 5.2467
! Total moment: 12.00 μB/f.u.
! E_tot: -7.14 eV/atom